Entry 1:
A plane-wave DFT calculation with GGA-PBE was carried out for a relaxed structure of TlPb3Au4.

Geometry as CIF:
```
data_TlPb3Au4
_cell_length_a 12.1676
_cell_length_b 7.6241
_cell_length_c 8.9434
_cell_angle_alpha 90.00
_cell_angle_beta 90.00
_cell_angle_gamma 90.00
_space_group_name_H-M_alt 'P n m a'
_space_group_IT_number 62
loop_
_space_group_symop_operation_xyz
'x,y,z'
'-x,-y,-z'
'-x+1/2,-y,z+1/2'
'x+1/2,y,-z+1/2'
'x+1/2,-y+1/2,-z+1/2'
'-x+1/2,y+1/2,z+1/2'
'-x,y+1/2,-z'
'x,-y+1/2,z'
loop_
_atom_site_label
_atom_site_type_symbol
_atom_site_fract_x
_atom_site_fract_y
_atom_site_fract_z
Tl1 Tl 0.0580 0.2500 0.2089
Pb1 Pb 0.0874 0.7500 0.1761
Pb2 Pb 0.1702 0.5029 0.6012
Au1 Au 0.0077 0.7500 0.4791
Au2 Au 0.1106 0.0600 0.9273
Au3 Au 0.2252 0.7500 0.8584
```

***

Entry 2:
A plane-wave DFT calculation with GGA-PBE was carried out for a relaxed structure of Tl4PbAu3.

Geometry as CIF:
```
data_Tl4PbAu3
_cell_length_a 3.9101
_cell_length_b 4.3048
_cell_length_c 12.7026
_cell_angle_alpha 90.00
_cell_angle_beta 90.00
_cell_angle_gamma 90.00
_space_group_name_H-M_alt 'P m m 2'
_space_group_IT_number 25
loop_
_space_group_symop_operation_xyz
'x,y,z'
'-x,-y,z'
'-x,y,z'
'x,-y,z'
loop_
_atom_site_label
_atom_site_type_symbol
_atom_site_fract_x
_atom_site_fract_y
_atom_site_fract_z
Tl1 Tl 0.0000 0.0000 0.0000
Tl2 Tl 0.0000 0.5000 0.2810
Tl3 Tl 0.5000 0.0000 0.4557
Tl4 Tl 0.5000 0.5000 0.8318
Pb1 Pb 0.0000 0.0000 0.6913
Au1 Au 0.0000 0.5000 0.5277
Au2 Au 0.5000 0.0000 0.2164
Au3 Au 0.5000 0.5000 0.0678
```

***

Record order is preserved below.
Formation enthalpy at 0 K: -0.031, -0.012 eV per atom